Entry 1:
Compound: SmSb2P2Pt7
Source: Alexandria
Functional: GGA-PBE
Structure: relaxed

Properties
Uncorrected formation energy, eV per formula unit: -7.87
N(E_F), states/eV/cell: 9.3

Cell lengths 5.643, 5.643, 15.103 Å; angles 90.00, 100.69, 90.00 degrees
Space group C2/m (No. 12)
One atom of each set of equivalent atoms:
Sm 0.000 0.000 0.000 x2
Sb 0.211 0.000 0.423 x4
P 0.118 0.500 0.239 x4
Pt 0.000 0.500 0.000 x2
Pt 0.175 0.250 0.848 x8
Pt 0.197 0.500 0.395 x4


Entry 2:
Compound: TiAlGa2
Source: Alexandria
Functional: GGA-PBE
Structure: relaxed

Properties
DFT formation energy, eV per atom: -0.41
N(E_F), states/eV/cell: 3.0

Cell lengths 3.795, 3.795, 8.797 Å; angles 90.00, 90.00, 90.00 degrees
Space group I-4m2 (No. 119)
One atom of each set of equivalent atoms:
Ti 0.000 0.000 0.000 x2
Al 0.000 0.500 0.250 x2
Ga 0.000 0.000 0.500 x2
Ga 0.000 0.500 0.750 x2


Entry 3:
Compound: TmB4Rh6
Source: Alexandria
Functional: GGA-PBE
Structure: relaxed

Properties
DFT formation energy, eV per atom: -0.40
N(E_F), states/eV/cell: 14.9

Cell lengths 5.673, 5.673, 8.236 Å; angles 90.00, 90.00, 90.00 degrees
Space group I-42m (No. 121)
One atom of each set of equivalent atoms:
Tm 0.000 0.000 0.000 x2
B 0.150 0.150 0.571 x8
Rh 0.000 0.500 0.000 x4
Rh 0.183 0.183 0.286 x8